Arrangement w

Computed, not measured: an optimized crystal structure of BaSbIrI2 at the PBE level of DFT.

Properties
* D(E_F): 17.4 states/eV/f.u.

a b c (Å): 6.5324 6.5324 6.9807
angles (deg): 90.00 90.00 90.00
Last column: nearest neighbours and their distance in Å.
Space group P4/mmm (No. 123)
Asymmetric unit:
Ba 0.0000 0.0000 0.0000  4 I 3.27, 2 Sb 3.49
Sb 0.0000 0.0000 0.5000  2 Ba 3.49
Ir 0.5000 0.5000 0.5000  4 Sb 4.62, 8 I 4.78
I 0.0000 0.5000 0.0000  2 Ba 3.27

Arrangement x

Computed, not measured: an optimized crystal structure of BaSbIrI2 at the PBE level of DFT.

Properties
* D(E_F): 3.0 states/eV/f.u.

a b c (Å): 5.7094 5.7094 5.1371
angles (deg): 90.00 90.00 90.00
Last column: nearest neighbours and their distance in Å.
Space group P4/mmm (No. 123)
Asymmetric unit:
Ba 0.0000 0.0000 0.0000  8 I 3.84, 4 Sb 4.04
Sb 0.5000 0.5000 0.0000  2 Ir 2.57
Ir 0.5000 0.5000 0.5000  2 Sb 2.57, 4 I 2.85
I 0.0000 0.5000 0.5000  2 Ir 2.85

Which of them is the least stable? Correct choice: arrangement w.

Arrangement w

Computed, not measured: an optimized crystal structure of BaSb2IrI at the PBE level of DFT.

Properties
* D(E_F): 9.7 states/eV/f.u.

a b c (Å): 6.6042 6.6042 6.4710
angles (deg): 90.00 90.00 90.00
Last column: nearest neighbours and their distance in Å.
Space group P4/mmm (No. 123)
Asymmetric unit:
Ba 0.0000 0.0000 0.0000  2 I 3.24, 4 Sb 3.30
Sb 0.0000 0.5000 0.0000  2 Ba 3.30
Ir 0.5000 0.5000 0.5000  8 Sb 4.62, 4 I 4.67
I 0.0000 0.0000 0.5000  2 Ba 3.24

Arrangement x

Computed, not measured: an optimized crystal structure of BaSb2IrI at the PBE level of DFT.

Properties
* D(E_F): 4.7 states/eV/f.u.

a b c (Å): 5.2221 5.2221 5.9394
angles (deg): 90.00 90.00 90.00
Last column: nearest neighbours and their distance in Å.
Space group P4/mmm (No. 123)
Asymmetric unit:
Ba 0.0000 0.0000 0.0000  4 I 3.69, 8 Sb 3.95
Sb 0.0000 0.5000 0.5000  2 Ir 2.61
Ir 0.5000 0.5000 0.5000  4 Sb 2.61
I 0.5000 0.5000 0.0000  2 Ir 2.97

Which of them is the least stable? Correct choice: arrangement w.

Arrangement w

Computed, not measured: an optimized crystal structure of KBaI3 at the PBE level of DFT.

Properties
* D(E_F): 0.0 states/eV/f.u.

a b c (Å): 9.4109 5.1194 19.6641
angles (deg): 90.00 90.00 90.00
Last column: nearest neighbours and their distance in Å.
Space group Pnma (No. 62)
Asymmetric unit:
K 0.0983 0.2500 0.2174  7 I 3.56-3.96
Ba 0.2423 0.7500 0.4577  7 I 3.49-3.64
I 0.0127 0.2500 0.4055  3 Ba 3.50-3.60, 1 K 3.79
I 0.1264 0.7500 0.0640  3 Ba 3.53-3.64
I 0.1789 0.2500 0.7842  1 Ba 3.49, 4 K 3.56-3.65

Arrangement x

Computed, not measured: an optimized crystal structure of KBaI3 at the PBE level of DFT.

Properties
* D(E_F): 0.0 states/eV/f.u.

a b c (Å): 8.4426 5.6340 12.5971
angles (deg): 90.00 92.20 90.00
Last column: nearest neighbours and their distance in Å.
Space group P2_1/m (No. 11)
Asymmetric unit:
K 0.1205 0.2500 0.1415  4 I 3.40-3.58
Ba 0.2661 0.2500 0.6026  7 I 3.48-3.63
I 0.0240 0.7500 0.6106  1 K 3.40, 3 Ba 3.48-3.56
I 0.1412 0.2500 0.8682  3 K 3.45-3.58, 1 Ba 3.55
I 0.4702 0.2500 0.3544  3 Ba 3.62-3.63, 1 K 3.91

Which of them is the least stable? Correct choice: arrangement x.

Arrangement w

Computed, not measured: an optimized crystal structure of KBaI3 at the PBE level of DFT.

Properties
* D(E_F): 0.0 states/eV/f.u.

a b c (Å): 6.7590 6.7590 6.7590
angles (deg): 90.00 90.00 90.00
Last column: nearest neighbours and their distance in Å.
Space group Pm-3m (No. 221)
Asymmetric unit:
K 0.0000 0.0000 0.0000  12 I 4.78
Ba 0.5000 0.5000 0.5000  6 I 3.38
I 0.0000 0.5000 0.5000  2 Ba 3.38

Arrangement x

Computed, not measured: an optimized crystal structure of KBaI3 at the PBE level of DFT.

Properties
* D(E_F): 0.0 states/eV/f.u.

a b c (Å): 6.2952 6.2952 6.2952
angles (deg): 90.00 90.00 90.00
Last column: nearest neighbours and their distance in Å.
Space group Pm-3m (No. 221)
Asymmetric unit:
K 0.0000 0.0000 0.0000  6 I 3.15
Ba 0.5000 0.5000 0.5000  12 I 4.45
I 0.0000 0.0000 0.5000  2 K 3.15

Which of them is the least stable? Correct choice: arrangement x.

Arrangement w

Computed, not measured: an optimized crystal structure of KBa2I at the PBE level of DFT.

Properties
* D(E_F): 4.9 states/eV/f.u.

a b c (Å): 4.5537 4.5537 38.6529
angles (deg): 90.00 90.00 120.00
Last column: nearest neighbours and their distance in Å.
Space group R3m (No. 160, hexagonal axes)
Asymmetric unit:
K 0.0000 0.0000 0.0000  6 K 4.55, 6 Ba 4.70-4.71
Ba 0.0000 0.0000 0.5659  3 I 3.65
Ba 0.0000 0.0000 0.7678  3 I 3.66
I 0.0000 0.0000 0.1670  6 Ba 3.65-3.66

Arrangement x

Computed, not measured: an optimized crystal structure of KBa2I at the PBE level of DFT.

Properties
* D(E_F): 2.6 states/eV/f.u.

a b c (Å): 9.4631 9.4631 9.4631
angles (deg): 90.00 90.00 90.00
Last column: nearest neighbours and their distance in Å.
Space group Fm-3m (No. 225)
Asymmetric unit:
K 0.0000 0.0000 0.0000  8 Ba 4.10
Ba 0.2500 0.2500 0.2500  4 K 4.10, 4 I 4.10
I 0.0000 0.0000 0.5000  8 Ba 4.10

Arrangement y

Computed, not measured: an optimized crystal structure of KBa2I at the PBE level of DFT.

Properties
* D(E_F): 4.4 states/eV/f.u.

a b c (Å): 4.4720 4.4720 41.3763
angles (deg): 90.00 90.00 120.00
Last column: nearest neighbours and their distance in Å.
Space group R-3m (No. 166, hexagonal axes)
Asymmetric unit:
K 0.0000 0.0000 0.0000  2 Ba 4.33, 6 K 4.47
Ba 0.0000 0.0000 0.1047  3 I 3.64
I 0.0000 0.0000 0.5000  6 Ba 3.64

Arrangement z

Computed, not measured: an optimized crystal structure of KBa2I at the PBE level of DFT.

Properties
* D(E_F): 6.0 states/eV/f.u.

a b c (Å): 11.1005 11.1005 8.3580
angles (deg): 90.00 90.00 90.00
Last column: nearest neighbours and their distance in Å.
Space group I-42d (No. 122)
Asymmetric unit:
K 0.0000 0.0000 0.0000  2 I 4.18, 4 Ba 4.57
Ba 0.1662 0.7500 0.6250  2 I 3.49
I 0.0000 0.0000 0.5000  4 Ba 3.49

Which of them is the least stable? Correct choice: arrangement x.

Arrangement w

Computed, not measured: an optimized crystal structure of KBaIN2 at the PBE level of DFT.

Properties
* D(E_F): 3.0 states/eV/f.u.

a b c (Å): 5.2839 5.2839 7.0895
angles (deg): 90.00 90.00 90.00
Last column: nearest neighbours and their distance in Å.
Space group P4/mmm (No. 123)
Asymmetric unit:
K 0.0000 0.0000 0.0000  4 I 3.74
Ba 0.5000 0.5000 0.5000  4 N 2.64
I 0.5000 0.5000 0.0000  2 Ba 3.54, 4 K 3.74
N 0.0000 0.5000 0.5000  2 Ba 2.64

Arrangement x

Computed, not measured: an optimized crystal structure of KBaIN2 at the PBE level of DFT.

Properties
* D(E_F): 4.9 states/eV/f.u.

a b c (Å): 5.1260 5.1260 6.2628
angles (deg): 90.00 90.00 90.00
Last column: nearest neighbours and their distance in Å.
Space group P4/mmm (No. 123)
Asymmetric unit:
K 0.0000 0.0000 0.0000  4 N 2.56
Ba 0.5000 0.5000 0.5000  4 I 3.62, 8 N 4.05
I 0.0000 0.0000 0.5000  2 K 3.13
N 0.0000 0.5000 0.0000  2 K 2.56

Which of them is the least stable? Correct choice: arrangement x.

Arrangement w

Computed, not measured: an optimized crystal structure of KBaI2O at the PBE level of DFT.

Properties
* D(E_F): 3.2 states/eV/f.u.

a b c (Å): 6.3021 6.3021 4.8271
angles (deg): 90.00 90.00 90.00
Last column: nearest neighbours and their distance in Å.
Space group P4/mmm (No. 123)
Asymmetric unit:
K 0.0000 0.0000 0.0000  2 O 2.41
Ba 0.5000 0.5000 0.5000  8 I 3.97
I 0.0000 0.5000 0.0000  2 K 3.15
O 0.0000 0.0000 0.5000  2 K 2.41

Arrangement x

Computed, not measured: an optimized crystal structure of KBaI2O at the PBE level of DFT.

Properties
* D(E_F): 5.9 states/eV/f.u.

a b c (Å): 6.9553 6.9553 4.5892
angles (deg): 90.00 90.00 90.00
Last column: nearest neighbours and their distance in Å.
Space group P4/mmm (No. 123)
Asymmetric unit:
K 0.0000 0.0000 0.0000  8 I 4.17, 2 K 4.59
Ba 0.5000 0.5000 0.5000  2 O 2.29
I 0.0000 0.5000 0.5000  2 Ba 3.48
O 0.5000 0.5000 0.0000  2 Ba 2.29

Which of them is the least stable? Correct choice: arrangement w.

Arrangement w

Computed, not measured: an optimized crystal structure of KBaIO2 at the PBE level of DFT.

Properties
* D(E_F): 12.2 states/eV/f.u.

a b c (Å): 4.9823 4.9823 6.1139
angles (deg): 90.00 90.00 90.00
Last column: nearest neighbours and their distance in Å.
Space group P4/mmm (No. 123)
Asymmetric unit:
K 0.0000 0.0000 0.0000  4 O 2.49
Ba 0.5000 0.5000 0.5000  4 I 3.52, 8 O 3.94
I 0.0000 0.0000 0.5000  2 K 3.06
O 0.0000 0.5000 0.0000  2 K 2.49

Arrangement x

Computed, not measured: an optimized crystal structure of KBaIO2 at the PBE level of DFT.

Properties
* D(E_F): 1.2 states/eV/f.u.

a b c (Å): 5.0204 5.0204 7.2352
angles (deg): 90.00 90.00 90.00
Last column: nearest neighbours and their distance in Å.
Space group P4/mmm (No. 123)
Asymmetric unit:
K 0.0000 0.0000 0.0000  4 I 3.55
Ba 0.5000 0.5000 0.5000  4 O 2.51
I 0.5000 0.5000 0.0000  4 K 3.55, 2 Ba 3.62
O 0.0000 0.5000 0.5000  2 Ba 2.51

Which of them is the least stable? Correct choice: arrangement w.